Below is a relaxed TaIn2HgRu crystal, with properties calculated at the PBE-GGA level.

Properties
**ΔH_f (0 K)**: 1.2425 eV/atom
**V**: 127.5 Å³/f.u.
**Space-group type**: P4/mmm (123)
**D(E_F)**: 1.548 states/eV per atom

Lattice parameters (Å, degrees): 4.981 5.141 4.981 90.00 90.00 90.00
Last column: magnetic moment on the atom in μB.
Sites, in units of the cell vectors:
In  0.500  0.000  0.000  -0.01
Ta  0.500  0.500  0.500  0.31
Hg  0.000  0.500  0.000  0.00
Ru  0.000  0.000  0.000  0.10
In  0.000  0.000  0.500  -0.01



Below is a relaxed NaLiSn2Rh crystal, with properties calculated at the PBE-GGA level.

Properties
**ΔH_f (0 K)**: -0.1923 eV/atom
**V**: 129.0 Å³/f.u.
**Space-group type**: P4/mmm (123)
**D(E_F)**: 0.620 states/eV per atom

Lattice parameters (Å, degrees): 5.080 5.080 5.000 90.00 90.00 90.00
Sites, in units of the cell vectors:
Li  0.000  0.000  0.500
Na  0.500  0.500  0.500
Rh  0.000  0.000  0.000
Sn  0.000  0.500  0.000
Sn  0.500  0.000  0.000



Below is a relaxed PmErMo crystal, with properties calculated at the PBE-GGA level.

Properties
**ΔH_f (0 K)**: 0.6945 eV/atom
**V**: 82.1 Å³/f.u.
**Space-group type**: Fmmm (69)
**D(E_F)**: 1.293 states/eV per atom

Lattice parameters (Å, degrees): 5.635 4.636 8.401 78.24 70.40 52.57
Sites, in units of the cell vectors:
Er  0.408  0.000  0.185
Er  0.592  0.000  0.815
Mo  0.844  0.313  0.000
Pm  0.750  0.500  0.500
Mo  0.156  0.687  0.000
Pm  0.250  0.500  0.500



Below is a relaxed Zn2CoAs crystal, with properties calculated at the PBE-GGA level.

Properties
**ΔH_f (0 K)**: 0.1516 eV/atom
**V**: 58.8 Å³/f.u.
**Space-group type**: C2/m (12)
**D(E_F)**: 0.822 states/eV per atom

Lattice parameters (Å, degrees): 4.259 5.454 2.928 72.16 95.58 114.62
Last column: magnetic moment on the atom in μB.
Sites, in units of the cell vectors:
As  0.000  0.500  0.500  0.02
Zn  0.500  0.000  0.500  0.00
Co  0.500  0.500  0.000  0.95
Zn  0.000  0.000  0.000  0.00



Q: Which of these has the lowest D(E_F)?
A: NaLiSn2Rh



Q: Which of these has the lowest ΔH_f (0 K)?
A: NaLiSn2Rh



Q: What is the formula in the first record?
A: TaIn2HgRu